Record 1
La2Ho3Er3 (PBE, optimized geometry); E_form = 0.13 eV per atom; V = 527 Å³ per cell
1.0
3.5826 0.0000 0.0000
-1.7913 8.8028 0.0000
0.0000 0.0000 16.7091
Ho La Er
6 4 6
Cartesian
1.7913 2.4837 8.5649
0.0000 6.3191 8.1441
1.7913 2.4837 16.4986
1.7913 1.8530 12.5318
0.0000 6.3191 0.2104
0.0000 6.9498 4.1773
1.7913 4.8843 10.8827
1.7913 4.8843 14.1809
0.0000 3.9185 2.5281
0.0000 3.9185 5.8264
1.7913 8.7231 10.0268
1.7913 1.3999 4.1773
1.7913 8.7231 15.0368
0.0000 0.0797 6.6822
0.0000 0.0797 1.6723
0.0000 7.4029 12.5318



Record 2
InCu2I (PBE, optimized geometry); formation energy (no corrections) = 0.2868 eV/atom; V = 204 Å³ per cell
1.0
-0.7800 4.7974 -4.6644
-6.6727 -0.2098 0.9000
-3.3953 5.4489 1.3075
Cu In I
4 2 2
Cartesian
-2.1699 4.3313 -2.4729
-9.0633 8.1009 -2.3138
-5.3455 5.8069 -0.4304
-5.1173 1.8339 0.3034
-6.8972 3.7665 0.1627
-3.7264 2.2938 -1.8822
-3.9508 6.2700 -2.6195
0.0000 0.0000 0.0000



Record 3
GdMgTiIn (PBE, optimized geometry); E_form = -0.07 eV per atom; V = 93 Å³ per cell
1.0
5.0836 0.0000 0.0000
2.5418 4.4025 0.0000
2.5418 1.4675 4.1507
Ti Gd Mg In
1 1 1 1
Cartesian
2.5418 1.4675 1.0377
7.6254 4.4025 3.1131
5.0836 2.9350 2.0754
0.0000 0.0000 0.0000



Record 4
HgMoAu2 (PBE, optimized geometry); E_form = 0.49 eV per atom; V = 74 Å³ per cell
1.0
-2.7256 3.3678 1.8465
-0.0470 0.7017 4.6568
1.9560 3.8800 1.8166
Hg Au Mo
1 2 1
Cartesian
-0.4083 3.9748 4.1600
-0.2041 1.9874 2.0800
0.0000 0.0000 0.0000
-0.6124 5.9622 6.2399



Record 5
NaAc2Ag4Ge3 (PBE, optimized geometry); E_form = -0.33 eV per atom; V = 233 Å³ per cell
1.0
4.5716 0.0000 0.0000
0.0000 4.5716 0.0000
0.0000 0.0000 11.1574
Ge Ag Ac Na
3 4 2 1
Cartesian
0.0000 0.0000 5.5787
0.0000 2.2858 1.5009
2.2858 0.0000 9.6565
2.2858 2.2858 0.0000
2.2858 0.0000 7.0784
0.0000 0.0000 0.0000
0.0000 2.2858 4.0790
2.2858 0.0000 2.6058
0.0000 2.2858 8.5516
2.2858 2.2858 5.5787



Record 6
BC3 (PBE, optimized geometry); E_form = 0.29 eV per atom; V = 75 Å³ per cell
1.0
4.3180 0.0446 -1.3770
2.7907 3.3794 -1.3474
-0.0930 0.0027 5.1990
B C
3 9
Cartesian
3.2229 2.4032 0.1450
4.1861 0.1733 3.6535
5.0323 1.4499 1.2214
3.1125 2.4935 2.5290
4.6625 2.3203 2.5338
4.7437 2.3327 -0.1697
7.0252 3.4193 -0.0862
2.7098 0.2950 1.2527
5.1401 1.5066 -1.4004
2.6061 0.3068 3.8826
2.3292 1.1118 -0.0469
2.3589 1.1257 2.5406



Record 7
Pm7Sm3Ho (PBE, optimized geometry); E_form = 0.12 eV per atom; V = 381 Å³ per cell
1.0
-4.8080 2.2473 1.9816
-4.8127 -2.7796 -8.5198
4.4414 -7.3443 2.9059
Ho Pm Sm
1 7 3
Cartesian
-2.5897 -3.9383 -1.8161
-4.2198 -0.8318 -1.1955
-0.8580 -0.9301 -1.0264
-0.9595 -7.0448 -2.4368
-5.9483 -2.6551 -3.3216
0.7689 -5.2214 -0.3107
-4.3213 -6.9465 -2.6058
-0.1833 -2.5485 2.4438
-7.2935 -2.7684 -6.4479
-2.4064 -1.3898 -4.2599
2.1141 -5.1082 2.8157



Record 8
La3Y2TmS6 (PBE, optimized geometry); formation energy (no corrections) = -2.0817 eV/atom; V = 276 Å³ per cell
1.0
-5.1795 -4.1652 -1.8922
4.5221 2.2680 -4.7078
4.0874 -4.6947 3.3573
La S Y Tm
3 6 2 1
Cartesian
4.9323 -1.1625 -2.5551
1.7150 -3.2959 -1.6214
-1.5023 -5.4293 -0.6876
2.3679 -0.4652 -1.2846
-0.8241 -2.5818 -0.3582
2.9852 -4.0989 0.9207
0.4448 -2.4930 -4.1634
1.0621 -6.1266 -1.9581
4.2541 -4.0100 -2.8845
-1.9455 -2.0207 -2.8308
1.2881 0.1235 -3.7692
0.0000 0.0000 0.0000



Record 9
K3MnBi3Se8 (PBE, optimized geometry); formation energy (no corrections) = -0.6878 eV/atom; V = 478 Å³ per cell
1.0
-4.9876 -6.6183 -1.0075
8.0076 -0.4127 -2.3311
-1.7094 -0.0982 9.1047
Se K Bi Mn
8 3 3 1
Cartesian
1.1049 -1.6050 5.0774
5.6416 -1.8392 3.7569
-4.3310 -5.2900 2.0092
-1.5056 -1.5407 2.5797
2.8162 -5.5885 3.1864
2.3967 -1.9735 1.1045
-1.0860 -5.1557 4.6616
0.2058 -5.5242 0.6887
4.0038 -0.2063 -1.1655
0.0000 0.0000 0.0000
1.5100 -3.5155 -1.6693
3.1491 -0.2554 3.3868
0.6553 -3.5646 2.8830
-3.3485 -3.3583 4.0486
-0.8547 -0.0491 4.5523



Record 10
Pm2BeAs (PBE, optimized geometry); E_form = -0.46 eV per atom; V = 92 Å³ per cell
1.0
-1.3384 -2.9746 1.7956
2.8208 -2.0537 -1.2997
3.6142 1.5911 5.3299
Pm As Be
2 1 1
Cartesian
0.9071 0.3993 1.3376
2.7072 1.1918 3.9922
2.5483 -1.7186 2.9129
0.7412 -2.5142 0.2479



Record 11
Hf5Mn4Hg (PBE, optimized geometry); E_form = -0.14 eV per atom; V = 170 Å³ per cell
1.0
3.1795 0.0000 0.0000
0.0000 3.1795 0.0000
0.0000 0.0000 16.8336
Hg Mn Hf
1 4 5
Cartesian
0.0000 0.0000 0.0000
0.0000 0.0000 3.6233
0.0000 0.0000 9.9811
0.0000 0.0000 13.2103
0.0000 0.0000 6.8525
1.5898 1.5898 5.2394
1.5898 1.5898 2.1522
1.5898 1.5898 11.5942
1.5898 1.5898 8.4168
1.5898 1.5898 14.6814



Record 12
Pm2NdGa (PBE, optimized geometry); E_form = -0.21 eV per atom; V = 241 Å³ per cell
1.0
5.4028 0.0000 0.0000
-2.7014 6.2809 0.0000
0.0000 0.0000 7.0913
Ga Nd Pm
2 2 4
Cartesian
2.7014 4.0389 5.3185
0.0000 2.2420 1.7728
0.0000 0.7554 5.3185
2.7014 5.5254 1.7728
2.7014 1.7432 0.1799
0.0000 4.5377 6.9115
0.0000 4.5377 3.7255
2.7014 1.7432 3.3658